# LiPm2Lu | the Alexandria database | PBE | relaxed
# Crystal system: trigonal
# Size of the total moment in μB/f.u.: 0.0
# Energy relative to the lowest polymorph listed for this composition in eV/f.u.: 0.20
# Density of states at the Fermi level in states/eV/cell: 15.26
# Energy of formation from the pure elements in eV per formula unit: 0.637
# DFT total energy in eV per atom: -3.82
data_LiPm2Lu
_chemical_formula_sum 'Li3 Pm6 Lu3'
_space_group_name_H-M_alt 'R -3 m'
_space_group_IT_number 166
_space_group_name_Hall '-R 3 2"'
_cell_length_a 3.4847
_cell_length_b 3.4847
_cell_length_c 36.7828
_cell_angle_alpha 90.00
_cell_angle_beta 90.00
_cell_angle_gamma 120.00
loop_
_atom_site_label
_atom_site_fract_x
_atom_site_fract_y
_atom_site_fract_z
_atom_site_occupancy
Li1 0.0000 0.0000 0.0000 1
Pm1 0.0000 0.0000 0.0897 1
Lu1 0.0000 0.0000 0.5000 1